1.
# La2TaHg

An optimized crystal structure of La2TaHg (PBE-GGA, Alexandria via LeMat-Bulk).

DFT formation energy ... 0.18 eV per atom
Space-group type ... Cmmm

Structure (extended XYZ):
```
4
Lattice="5.7155 0.1071 -0.0106 -0.1248 5.7151 -0.0106 0.0085 0.0089 3.3584" Properties=species:S:1:pos:R:3 pbc="T T T"
Ta 2.8620 0.0580 1.6739
Hg -0.0581 2.8620 1.6739
La 2.7953 2.9111 -0.0106
La 0.0000 0.0000 0.0000
```

2.
# Hg2TePb

An optimized crystal structure of Hg2TePb (PBE-GGA, Alexandria via LeMat-Bulk).

ΔE_f (raw) ... 87 meV per atom
Space-group type ... R-3m
Excess energy over the best structure of this formula in the dataset ... 1.01 eV per formula unit

Structure (extended XYZ):
```
4
Lattice="11.9535 0.1136 0.0666 11.4474 3.4431 0.0666 11.4474 1.7399 2.9719" Properties=species:S:1:pos:R:3 pbc="T T T"
Hg 34.7901 5.2878 3.0999
Hg 17.4824 2.6572 1.5577
Te 26.1362 3.9725 2.3288
Pb 8.7122 1.3242 0.7763
```

Calculated total energy values, unit eV per atom, following the record order: -5.325, -1.776.